(1)
Computed, not measured: an optimized crystal structure of InSbIr2 at the GGA-PBEsol level of DFT.

Results
space-group type: No. 8
E_form (uncorrected): 0.059 eV per atom
relative energy among the computed polymorphs: 0.0 kJ/mol of atoms

Unit cell a=3.3966 b=4.4156 c=5.0601 alpha=102.31 beta=109.61 gamma=90.00
Positions (direct):
In: 0.7482 0.1791 0.4965
Ir: 0.0138 0.0803 0.0275
Ir: 0.2343 0.6714 0.4686
Sb: 0.5037 0.5691 0.0074

(2)
Computed, not measured: an optimized crystal structure of InSbTe2Ir at the GGA-PBEsol level of DFT.

Results
space-group type: No. 123
E_form (uncorrected): 0.375 eV per atom

Unit cell a=4.9050 b=5.4374 c=5.4374 alpha=90.00 beta=90.00 gamma=90.00
Positions (direct):
Sb: 0.5000 0.0000 0.0000
Ir: 0.0000 0.0000 0.0000
Te: 0.0000 0.0000 0.5000
Te: 0.0000 0.5000 0.0000
In: 0.5000 0.5000 0.5000

(3)
Computed, not measured: an optimized crystal structure of Sc2InIr2 at the GGA-PBEsol level of DFT.

Results
space-group type: No. 139

Unit cell a=4.2193 b=4.2193 c=6.3508 alpha=109.40 beta=109.40 gamma=90.00
Positions (direct):
Sc: 0.2500 0.7500 0.5000
Sc: 0.7500 0.2500 0.5000
Ir: 0.3897 0.3897 0.7794
Ir: 0.6103 0.6103 0.2206
In: 0.0000 0.0000 0.0000

(4)
Computed, not measured: an optimized crystal structure of ScInIr2 at the GGA-PBEsol level of DFT.

Results
space-group type: No. 123

Unit cell a=3.4967 b=4.3023 c=4.3023 alpha=90.00 beta=90.00 gamma=90.00
Positions (direct):
Sc: 0.5000 0.5000 0.5000
Ir: 0.0000 0.0000 0.5000
Ir: 0.0000 0.5000 0.0000
In: 0.5000 0.0000 0.0000

(5)
Computed, not measured: an optimized crystal structure of ScInIr2 at the GGA-PBEsol level of DFT.

Results
space-group type: No. 47

Unit cell a=3.1605 b=3.3237 c=6.2062 alpha=90.00 beta=90.00 gamma=90.00
Positions (direct):
Sc: 0.5000 0.5000 0.0000
Ir: 0.0000 0.0000 0.7539
Ir: 0.0000 0.0000 0.2461
In: 0.5000 0.5000 0.5000

(6)
Computed, not measured: an optimized crystal structure of InIrSe at the GGA-PBEsol level of DFT.

Results
space-group type: No. 156
E_form (uncorrected): 0.058 eV per atom

Unit cell a=3.5243 b=3.5243 c=5.5712 alpha=90.00 beta=90.00 gamma=120.00
Positions (direct):
In: 0.0000 0.0000 0.9701
Ir: 0.6667 0.3333 0.6333
Se: 0.3333 0.6667 0.3966

(7)
Computed, not measured: an optimized crystal structure of InSi2Ir at the GGA-PBEsol level of DFT.

Results
space-group type: No. 123
E_form (uncorrected): 0.338 eV per atom

Unit cell a=3.7559 b=4.1072 c=4.1072 alpha=90.00 beta=90.00 gamma=90.00
Positions (direct):
In: 0.5000 0.5000 0.5000
Ir: 0.5000 0.0000 0.0000
Si: 0.0000 0.0000 0.5000
Si: 0.0000 0.5000 0.0000

(8)
Computed, not measured: an optimized crystal structure of In2SiIr at the GGA-PBEsol level of DFT.

Results
space-group type: No. 65
E_form (uncorrected): 0.236 eV per atom

Unit cell a=3.1331 b=4.8868 c=4.8868 alpha=110.90 beta=90.00 gamma=90.00
Positions (direct):
In: 0.0000 0.5000 0.0000
In: 0.0000 0.0000 0.5000
Ir: 0.5000 0.0000 0.0000
Si: 0.5000 0.5000 0.5000

| no. | total energy (eV per cell) | total magnetic moment (μB/f.u.) |
| --- | --- | --- |
| 1 | -26.95 | 0.00 |
| 2 | -22.54 | 0.00 |
| 3 | -37.86 | 0.00 |
| 4 | -31.79 | 0.00 |
| 5 | -31.59 | 0.00 |
| 6 | -16.48 | 0.00 |
| 7 | -22.95 | 0.00 |
| 8 | -20.59 | 0.00 |